Material: HfBiPt2
Method: DFT, PBEsol
State: optimized geometry

Calculated formation energy, eV/f.u.: -0.02
M_tot, μB per formula unit: 0.00
SG: No. 122

```
HfBiPt2
1.0
6.025 0.000 0.000
0.000 6.025 0.000
-3.013 -3.013 5.993
Hf Bi Pt
2 2 4
direct
0.750 0.250 0.500 Hf
0.500 0.500 0.000 Hf
0.000 0.000 0.000 Bi
0.250 0.750 0.500 Bi
0.860 0.375 0.250 Pt
0.125 0.140 0.750 Pt
0.390 0.875 0.250 Pt
0.625 0.610 0.750 Pt
```

Material: SrHfBi2Pt
Method: DFT, PBEsol
State: optimized geometry

Calculated formation energy, eV/f.u.: 2.20
M_tot, μB per formula unit: 1.05
SG: No. 123

```
SrHfBi2Pt
1.0
5.338 0.000 0.000
0.000 5.378 0.000
0.000 0.000 5.378
Hf Bi Pt Sr
1 2 1 1
direct
0.500 0.500 0.500 Hf
0.000 0.500 0.000 Bi
0.000 0.000 0.500 Bi
0.000 0.000 0.000 Pt
0.500 0.000 0.000 Sr
```